1.
VASP calculation (PBE-GGA) on a relaxed structure of BTe2S.

Geometry as POSCAR:
```
BTe2S
1.0
-3.2593 -0.0092 5.7344
0.9896 -6.4979 0.5520
2.5597 -2.5124 5.2443
Te S B
4 2 2
direct
0.8750 0.8078 0.7500
0.1922 0.6250 0.2500
0.3750 0.4422 0.7500
0.5578 0.1250 0.2500
0.7500 0.2500 0.5000
0.0000 0.0000 0.0000
0.5000 0.5000 0.0000
0.2500 0.7500 0.5000
```

Calculated values
- offset from the most stable computed form (eV per atom) = 0.000


2.
VASP calculation (PBE-GGA) on a relaxed structure of LaPuAl2.

Geometry as POSCAR:
```
LaPuAl2
1.0
4.4834 0.0000 0.0000
0.0000 4.6879 0.0000
0.0000 0.0000 4.6879
La Pu Al
1 1 2
direct
0.5000 0.5000 0.5000
0.5000 0.0000 0.0000
0.0000 0.0000 0.5000
0.0000 0.5000 0.0000
```

Calculated values
- offset from the most stable computed form (eV per atom) = 0.030


3.
VASP calculation (PBE-GGA) on a relaxed structure of Ni4AgAu.

Geometry as POSCAR:
```
Ni4AgAu
1.0
0.0000 3.4007 3.4007
3.4007 0.0000 3.4007
3.4007 3.4007 0.0000
Ni Ag Au
4 1 1
direct
0.3749 0.8752 0.3749
0.8752 0.3749 0.3749
0.3749 0.3749 0.3749
0.3749 0.3749 0.8752
0.7500 0.7500 0.7500
0.0000 0.0000 0.0000
```

Calculated values
- calculated total energy (eV per cell) = -28.5